Here is a geometry-optimized CoGeC4Cl3O4 structure from the Open Quantum Materials Database. Energies are from GGA+U.

Geometry as CIF:
```
data_CoGeC4Cl3O4
_chemical_formula_sum 'Co4 Ge4 C16 Cl12 O16'
_symmetry_space_group_name_H-M 'P 1'
_symmetry_Int_Tables_number 1
_symmetry_space_group_name_Hall 'P 1'
_cell_length_a 13.2578
_cell_length_b 13.2578
_cell_length_c 12.6458
_cell_angle_alpha 105.95
_cell_angle_beta 105.95
_cell_angle_gamma 28.31
loop_
_atom_site_label
_atom_site_type_symbol
_atom_site_fract_x
_atom_site_fract_y
_atom_site_fract_z
Cl1 Cl 0.1544 0.0315 0.2879
Cl2 Cl 0.9196 0.3466 0.5311
Cl3 Cl 0.3232 0.4430 0.7692
Cl4 Cl 0.5599 0.1208 0.5262
Cl5 Cl 0.6237 0.4447 0.3063
Cl6 Cl 0.0369 0.5229 0.5508
Cl7 Cl 0.5229 0.0369 0.0508
Cl8 Cl 0.3466 0.9196 0.0311
Cl9 Cl 0.0315 0.1544 0.7879
Cl10 Cl 0.4430 0.3232 0.2692
Cl11 Cl 0.4447 0.6237 0.8063
Cl12 Cl 0.1208 0.5599 0.0262
Ge1 Ge 0.1914 0.9326 0.8982
Ge2 Ge 0.9326 0.1914 0.3982
Ge3 Ge 0.3488 0.2740 0.6414
Ge4 Ge 0.2740 0.3488 0.1414
O1 O 0.8613 0.0183 0.7241
O2 O 0.8044 0.8726 0.8311
O3 O 0.4351 0.0249 0.2909
O4 O 0.3456 0.6201 0.0616
O5 O 0.5788 0.7555 0.7963
O6 O 0.8726 0.8044 0.3311
O7 O 0.8717 0.5084 0.9835
O8 O 0.0183 0.8613 0.2241
O9 O 0.7555 0.5788 0.2963
O10 O 0.4025 0.7610 0.5695
O11 O 0.0249 0.4351 0.7909
O12 O 0.6600 0.1660 0.0343
O13 O 0.5084 0.8717 0.4835
O14 O 0.6201 0.3456 0.5616
O15 O 0.1660 0.6600 0.5343
O16 O 0.7610 0.4025 0.0695
C1 C 0.4842 0.9433 0.5718
C2 C 0.8692 0.5295 0.2641
C3 C 0.9012 0.0224 0.8169
C4 C 0.6670 0.9392 0.7819
C5 C 0.5295 0.8692 0.7641
C6 C 0.0224 0.9012 0.3169
C7 C 0.1105 0.7799 0.5048
C8 C 0.2545 0.8416 0.5261
C9 C 0.7809 0.1948 0.5214
C10 C 0.8416 0.2545 0.0261
C11 C 0.1948 0.7809 0.0214
C12 C 0.9433 0.4842 0.0718
C13 C 0.9392 0.6670 0.2819
C14 C 0.7799 0.1105 0.0048
C15 C 0.2802 0.1947 0.2603
C16 C 0.1947 0.2802 0.7603
Co1 Co 0.4534 0.0425 0.7109
Co2 Co 0.0287 0.9618 0.4594
Co3 Co 0.9618 0.0287 0.9594
Co4 Co 0.0425 0.4534 0.2109
```

Total magnetic moment in Bohr magnetons per cell: 0.00
E_tot in Ha/atom: -0.2277
Space group: Cc